Below is a relaxed structure of AlRe2, with properties calculated at the PBE level.

a b c (Å): 5.840 5.840 5.840
angles (deg): 90.00 90.00 90.00
Space group Fm-3m (No. 225)
Unique sites:
Al (0.000, 0.000, 0.000) [4 per cell]
Re (0.250, 0.250, 0.250) [8 per cell]

E in eV/atom: -8.60
Calculated volume in Å³/atom: 16.6
DFT formation energy in kJ/mol of atoms: 90.8